(1)
This record from Alexandria describes a relaxed structure of Ca2AgIrN. The functional is GGA-PBE.

Structure (POSCAR):
```
Ca2AgIrN
1.0
5.098 0.000 0.000
0.000 5.098 0.000
0.000 0.000 3.802
Ca Ag Ir N
2 1 1 1
Direct
0.000 0.500 0.000 Ca
0.500 0.000 0.000 Ca
0.000 0.000 0.500 Ag
0.500 0.500 0.500 Ir
0.500 0.500 0.000 N
```

Summary:
ΔE_f (raw)   -2.83 eV per formula unit
Density of states at the Fermi level   2.83 states/eV/f.u.
Final energy   -0.39500 Ry per atom
Energy above the most stable polymorph in this dataset   0.000 eV per formula unit

***

(2)
This record from Alexandria describes a relaxed structure of Ca2AgIrO6. The functional is GGA-PBE.

Structure (POSCAR):
```
Ca2AgIrO6
1.0
2.853 1.647 4.873
-2.853 1.647 4.873
0.000 -3.294 4.873
Ca Ag Ir O
2 1 1 6
Direct
0.000 0.000 0.000 Ca
0.492 0.492 0.492 Ca
0.225 0.225 0.225 Ag
0.703 0.703 0.703 Ir
0.036 0.464 0.813 O
0.357 0.893 0.604 O
0.464 0.813 0.036 O
0.604 0.357 0.893 O
0.813 0.036 0.464 O
0.893 0.604 0.357 O
```

Summary:
ΔE_f (raw)   -14.89 eV per formula unit
Density of states at the Fermi level   3.78 states/eV/f.u.
Final energy   -0.44360 Ry per atom

***

(3)
This record from Alexandria describes a relaxed structure of RbCa2AgIr. The functional is GGA-PBE.

Structure (POSCAR):
```
RbCa2AgIr
1.0
5.861 0.000 0.000
0.000 5.861 0.000
0.000 0.000 4.825
Rb Ca Ag Ir
1 2 1 1
Direct
0.000 0.000 0.000 Rb
0.000 0.500 0.000 Ca
0.500 0.000 0.000 Ca
0.500 0.500 0.500 Ag
0.000 0.000 0.500 Ir
```

Summary:
Density of states at the Fermi level   5.16 states/eV/f.u.
Final energy   -0.14237 Ry per atom
Energy of formation   1.400 eV per atom

***

| no. | total magnetization (μB/atom) |
| --- | --- |
| 1 | 0.0000 |
| 2 | 0.2058 |
| 3 | 0.0000 |